1.
Compound: Al2V5Cr
Source: Alexandria via LeMat-Bulk
Functional: PBE
Structure: optimized geometry

Cell lengths 4.3181, 4.3181, 11.7357 Å; angles 90.00, 90.00, 90.00 degrees
Space group I4/mmm (No. 139)
Inequivalent atoms, fractional coordinates:
Al: 0.0000 0.0000 0.2501 (multiplicity 4)
V: 0.0000 0.0000 0.0000 (multiplicity 2)
V: 0.0000 0.5000 0.1129 (multiplicity 8)
Cr: 0.0000 0.0000 0.5000 (multiplicity 2)

2.
Compound: AlVCr2
Source: Alexandria via LeMat-Bulk
Functional: PBE
Structure: optimized geometry

Cell lengths 6.5852, 6.5852, 5.1046 Å; angles 90.00, 90.00, 90.00 degrees
Space group I-42d (No. 122)
Inequivalent atoms, fractional coordinates:
Al: 0.0000 0.0000 0.0000 (multiplicity 4)
V: 0.0000 0.0000 0.5000 (multiplicity 4)
Cr: 0.2212 0.2500 0.6250 (multiplicity 8)

3.
Compound: AlVCr4
Source: Alexandria via LeMat-Bulk
Functional: PBE
Structure: optimized geometry

Results
- excess energy over the best structure of this formula in the dataset (kJ/mol of formula units) = 19

Cell lengths 6.7266, 6.7266, 6.7266 Å; angles 90.00, 90.00, 90.00 degrees
Space group F-43m (No. 216)
Inequivalent atoms, fractional coordinates:
Al: 0.0000 0.0000 0.0000 (multiplicity 4)
V: 0.2500 0.2500 0.2500 (multiplicity 4)
Cr: 0.1259 0.1259 0.6259 (multiplicity 16)

4.
Compound: Al3V12Cr
Source: Alexandria via LeMat-Bulk
Functional: PBE
Structure: optimized geometry

Cell lengths 4.7657, 4.8042, 9.5464 Å; angles 90.00, 90.00, 90.00 degrees
Space group Pmmm (No. 47)
Inequivalent atoms, fractional coordinates:
Al: 0.0000 0.0000 0.0000 (multiplicity 1)
Al: 0.5000 0.5000 0.2504 (multiplicity 2)
V: 0.0000 0.2432 0.2578 (multiplicity 4)
V: 0.2432 0.5000 0.5000 (multiplicity 2)
V: 0.2508 0.5000 0.0000 (multiplicity 2)
V: 0.5000 0.0000 0.1280 (multiplicity 2)
V: 0.5000 0.0000 0.3799 (multiplicity 2)
Cr: 0.0000 0.0000 0.5000 (multiplicity 1)

5.
Compound: AlV2Cr6
Source: Alexandria via LeMat-Bulk
Functional: PBE
Structure: optimized geometry

Cell lengths 12.3158, 4.8178, 4.3165 Å; angles 90.00, 110.39, 90.00 degrees
Space group C2/m (No. 12)
Inequivalent atoms, fractional coordinates:
Al: 0.0000 0.0000 0.0000 (multiplicity 2)
V: 0.1056 0.5000 0.1057 (multiplicity 4)
Cr: 0.0000 0.2575 0.5000 (multiplicity 4)
Cr: 0.1957 0.2554 0.6958 (multiplicity 8)

6.
Compound: Al2VCr
Source: Alexandria via LeMat-Bulk
Functional: PBE
Structure: optimized geometry

Results
- excess energy over the best structure of this formula in the dataset (kJ/mol of formula units) = 174

Cell lengths 2.6865, 2.6865, 28.0612 Å; angles 90.00, 90.00, 120.00 degrees
Space group R-3m (No. 166, hexagonal axes)
Inequivalent atoms, fractional coordinates:
Al: 0.0000 0.0000 0.0920 (multiplicity 6)
V: 0.0000 0.0000 0.0000 (multiplicity 3)
Cr: 0.0000 0.0000 0.5000 (multiplicity 3)

7.
Compound: Al5V12Cr2
Source: Alexandria via LeMat-Bulk
Functional: PBE
Structure: optimized geometry

Cell lengths 10.8596, 7.7356, 6.5126 Å; angles 90.00, 90.19, 90.00 degrees
Space group C2/m (No. 12)
Inequivalent atoms, fractional coordinates:
Al: 0.0000 0.0000 0.0000 (multiplicity 2)
Al: 0.1761 0.5000 0.5624 (multiplicity 4)
Al: 0.2372 0.0000 0.9481 (multiplicity 4)
V: 0.0456 0.5000 0.2099 (multiplicity 4)
V: 0.0952 0.0000 0.6204 (multiplicity 4)
V: 0.1034 0.2877 0.8821 (multiplicity 8)
V: 0.1496 0.2048 0.2755 (multiplicity 8)
Cr: 0.0000 0.2708 0.5000 (multiplicity 4)

8.
Compound: Al6V2Cr
Source: Alexandria via LeMat-Bulk
Functional: PBE
Structure: optimized geometry

Cell lengths 7.5693, 13.0580, 2.6346 Å; angles 90.00, 90.00, 90.00 degrees
Space group Cmmm (No. 65)
Inequivalent atoms, fractional coordinates:
Al: 0.1656 0.1659 0.0000 (multiplicity 8)
Al: 0.1680 0.5000 0.0000 (multiplicity 4)
V: 0.0000 0.3333 0.5000 (multiplicity 4)
Cr: 0.0000 0.0000 0.5000 (multiplicity 2)

9.
Compound: Al2V8Cr
Source: Alexandria via LeMat-Bulk
Functional: PBE
Structure: optimized geometry

Cell lengths 12.9173, 4.8697, 4.9053 Å; angles 90.00, 98.56, 90.00 degrees
Space group C2/m (No. 12)
Inequivalent atoms, fractional coordinates:
Al: 0.1917 0.0000 0.0701 (multiplicity 4)
V: 0.0011 0.0000 0.7568 (multiplicity 4)
V: 0.0957 0.5000 0.0432 (multiplicity 4)
V: 0.1613 0.2506 0.5637 (multiplicity 8)
Cr: 0.0000 0.5000 0.5000 (multiplicity 2)

10.
Compound: AlV5Cr
Source: Alexandria via LeMat-Bulk
Functional: PBE
Structure: optimized geometry

Cell lengths 8.5732, 5.5716, 8.8655 Å; angles 90.00, 109.22, 90.00 degrees
Space group C2/c (No. 15)
Inequivalent atoms, fractional coordinates:
Al: 0.0000 0.1190 0.2500 (multiplicity 4)
V: 0.0000 0.3974 0.7500 (multiplicity 4)
V: 0.1456 0.1124 0.0086 (multiplicity 8)
V: 0.2321 0.1698 0.7170 (multiplicity 8)
Cr: 0.0000 0.5000 0.0000 (multiplicity 4)

11.
Compound: Al3V7Cr
Source: Alexandria via LeMat-Bulk
Functional: PBE
Structure: optimized geometry

Cell lengths 2.6256, 21.8796, 10.8987 Å; angles 90.00, 90.00, 90.00 degrees
Space group Cmcm (No. 63)
Inequivalent atoms, fractional coordinates:
Al: 0.0000 0.1525 0.0067 (multiplicity 8)
Al: 0.0000 0.1577 0.7500 (multiplicity 4)
V: 0.0000 0.2541 0.1271 (multiplicity 8)
V: 0.0000 0.3460 0.7500 (multiplicity 4)
V: 0.0000 0.4357 0.1402 (multiplicity 8)
V: 0.0000 0.4507 0.5767 (multiplicity 8)
Cr: 0.0000 0.0374 0.2500 (multiplicity 4)

12.
Compound: Al2V2Cr
Source: Alexandria via LeMat-Bulk
Functional: PBE
Structure: optimized geometry

Results
- excess energy over the best structure of this formula in the dataset (kJ/mol of formula units) = 118

Cell lengths 4.1231, 4.1231, 17.8343 Å; angles 90.00, 90.00, 90.00 degrees
Space group I4_1/amd (No. 141, origin choice 2)
Inequivalent atoms, fractional coordinates:
Al: 0.0000 0.2500 0.0506 (multiplicity 8)
V: 0.0000 0.2500 0.2022 (multiplicity 8)
Cr: 0.0000 0.2500 0.3750 (multiplicity 4)

13.
Compound: AlVCr3
Source: Alexandria via LeMat-Bulk
Functional: PBE
Structure: optimized geometry

Results
- excess energy over the best structure of this formula in the dataset (kJ/mol of formula units) = 755

Cell lengths 4.4967, 4.4967, 4.4967 Å; angles 90.00, 90.00, 90.00 degrees
Space group Pm-3m (No. 221)
Inequivalent atoms, fractional coordinates:
Al: 0.0000 0.0000 0.0000 (multiplicity 1)
V: 0.5000 0.5000 0.5000 (multiplicity 1)
Cr: 0.0000 0.0000 0.5000 (multiplicity 3)

14.
Compound: AlV12Cr6
Source: Alexandria via LeMat-Bulk
Functional: PBE
Structure: optimized geometry

Results
- excess energy over the best structure of this formula in the dataset (kJ/mol of formula units) = 634

Cell lengths 10.7247, 10.7247, 8.3356 Å; angles 90.00, 90.00, 120.00 degrees
Space group R-3m (No. 166, hexagonal axes)
Inequivalent atoms, fractional coordinates:
Al: 0.0000 0.0000 0.0000 (multiplicity 3)
V: 0.0000 0.3781 0.5000 (multiplicity 18)
V: 0.0876 0.1752 0.3065 (multiplicity 18)
Cr: 0.0683 0.5342 0.2449 (multiplicity 18)

15.
Compound: AlV12Cr6
Source: Alexandria via LeMat-Bulk
Functional: PBE
Structure: optimized geometry

Results
- excess energy over the best structure of this formula in the dataset (kJ/mol of formula units) = 0

Cell lengths 8.9153, 8.9153, 11.0883 Å; angles 90.00, 90.00, 120.00 degrees
Space group R-3 (No. 148, hexagonal axes)
Inequivalent atoms, fractional coordinates:
Al: 0.0000 0.0000 0.0000 (multiplicity 3)
V: 0.0475 0.8612 0.8058 (multiplicity 18)
V: 0.0614 0.2311 0.4178 (multiplicity 18)
Cr: 0.0302 0.5871 0.7052 (multiplicity 18)

16.
Compound: Al2VCr
Source: Alexandria via LeMat-Bulk
Functional: PBE
Structure: optimized geometry

Results
- excess energy over the best structure of this formula in the dataset (kJ/mol of formula units) = 0

Cell lengths 3.7479, 3.7479, 3.9911 Å; angles 90.00, 90.00, 90.00 degrees
Space group P4/mmm (No. 123)
Inequivalent atoms, fractional coordinates:
Al: 0.0000 0.5000 0.0000 (multiplicity 2)
V: 0.0000 0.0000 0.5000 (multiplicity 1)
Cr: 0.5000 0.5000 0.5000 (multiplicity 1)

17.
Compound: Al2V2Cr
Source: Alexandria via LeMat-Bulk
Functional: PBE
Structure: optimized geometry

Results
- excess energy over the best structure of this formula in the dataset (kJ/mol of formula units) = 0

Cell lengths 13.7043, 4.1359, 5.2121 Å; angles 90.00, 112.03, 90.00 degrees
Space group C2/m (No. 12)
Inequivalent atoms, fractional coordinates:
Al: 0.0075 0.0000 0.2599 (multiplicity 4)
Al: 0.2010 0.0000 0.0441 (multiplicity 4)
V: 0.0980 0.5000 0.6252 (multiplicity 4)
V: 0.1023 0.5000 0.1473 (multiplicity 4)
Cr: 0.2138 0.0000 0.5543 (multiplicity 4)

18.
Compound: AlV5Cr4
Source: Alexandria via LeMat-Bulk
Functional: PBE
Structure: optimized geometry

Cell lengths 2.9593, 2.9593, 14.6224 Å; angles 90.00, 90.00, 90.00 degrees
Space group P4/mmm (No. 123)
Inequivalent atoms, fractional coordinates:
Al: 0.0000 0.0000 0.0000 (multiplicity 1)
V: 0.5000 0.5000 0.1129 (multiplicity 2)
V: 0.5000 0.5000 0.3038 (multiplicity 2)
V: 0.5000 0.5000 0.5000 (multiplicity 1)
Cr: 0.0000 0.0000 0.2009 (multiplicity 2)
Cr: 0.0000 0.0000 0.4011 (multiplicity 2)

19.
Compound: Al2V2Cr
Source: Alexandria via LeMat-Bulk
Functional: PBE
Structure: optimized geometry

Results
- excess energy over the best structure of this formula in the dataset (kJ/mol of formula units) = 72

Cell lengths 6.6356, 6.6356, 3.3103 Å; angles 90.00, 90.00, 90.00 degrees
Space group P4/mbm (No. 127)
Inequivalent atoms, fractional coordinates:
Al: 0.1337 0.3663 0.0000 (multiplicity 4)
V: 0.1680 0.6680 0.5000 (multiplicity 4)
Cr: 0.0000 0.0000 0.0000 (multiplicity 2)

20.
Compound: AlVCr3
Source: Alexandria via LeMat-Bulk
Functional: PBE
Structure: optimized geometry

Results
- excess energy over the best structure of this formula in the dataset (kJ/mol of formula units) = 594

Cell lengths 4.2655, 4.2655, 4.2655 Å; angles 90.00, 90.00, 90.00 degrees
Space group Pm-3m (No. 221)
Inequivalent atoms, fractional coordinates:
Al: 0.0000 0.0000 0.0000 (multiplicity 1)
V: 0.5000 0.5000 0.5000 (multiplicity 1)
Cr: 0.0000 0.5000 0.5000 (multiplicity 3)

21.
Compound: Al2V3Cr6
Source: Alexandria via LeMat-Bulk
Functional: PBE
Structure: optimized geometry

Cell lengths 8.8441, 13.4334, 2.4467 Å; angles 90.00, 90.00, 90.00 degrees
Space group Cmmm (No. 65)
Inequivalent atoms, fractional coordinates:
Al: 0.2257 0.0000 0.0000 (multiplicity 4)
V: 0.0000 0.2849 0.0000 (multiplicity 4)
V: 0.0000 0.5000 0.5000 (multiplicity 2)
Cr: 0.0000 0.0970 0.5000 (multiplicity 4)
Cr: 0.2460 0.1675 0.5000 (multiplicity 8)

22.
Compound: AlVCr4
Source: Alexandria via LeMat-Bulk
Functional: PBE
Structure: optimized geometry

Results
- excess energy over the best structure of this formula in the dataset (kJ/mol of formula units) = 0

Cell lengths 2.9304, 2.9304, 8.7838 Å; angles 90.00, 90.00, 90.00 degrees
Space group P4/mmm (No. 123)
Inequivalent atoms, fractional coordinates:
Al: 0.0000 0.0000 0.0000 (multiplicity 1)
V: 0.5000 0.5000 0.5000 (multiplicity 1)
Cr: 0.0000 0.0000 0.3296 (multiplicity 2)
Cr: 0.5000 0.5000 0.1824 (multiplicity 2)

no.,DFT total energy (eV/atom),Fermi-level density of states (states/eV per atom),ΔH_f (0 K) (eV/atom)
1,-7.981,0.8522,-0.144
2,-7.438,0.9565,0.589
3,-8.604,0.5423,-0.045
4,-8.266,1.4968,-0.123
5,-8.430,0.8754,0.428
6,-6.226,1.2690,0.331
7,-7.691,1.1704,0.066
8,-5.651,0.8178,-0.060
9,-8.245,1.0827,-0.058
10,-8.133,1.1503,0.290
11,-7.601,0.8953,0.097
12,-6.933,1.1320,0.136
13,-6.880,1.3817,1.466
14,-8.500,1.0035,0.496
15,-8.845,1.2575,0.150
16,-6.676,0.8532,-0.119
17,-7.178,0.9159,-0.109
18,-8.886,0.8508,-0.103
19,-7.028,0.3173,0.041
20,-7.213,1.4976,1.134
21,-8.129,1.1086,0.287
22,-8.638,0.5702,-0.079